# YZr3Tl

A relaxed YZr3Tl crystal (PBE-GGA, Alexandria).

Lattice parameters (Å, degrees): 5.401 5.401 5.401 90.00 90.00 90.00
Sites, in units of the cell vectors:
Y 0.000 0.000 0.000
Zr 0.000 0.500 0.500
Zr 0.500 0.000 0.500
Zr 0.500 0.500 0.000
Tl 0.500 0.500 0.500

**SG**: Pm-3m (221)
**Calculated volume**: 157.5 Å³ per cell
**Calculated formation energy**: 928 meV per atom
**Calculated total energy**: -5.967 eV per atom

=====

# YZrTl2

A relaxed YZrTl2 crystal (PBE-GGA, Alexandria).

Lattice parameters (Å, degrees): 6.652 6.652 6.652 103.92 103.92 121.25
Sites, in units of the cell vectors:
Y 0.000 0.000 0.000
Y 0.750 0.250 0.500
Zr 0.250 0.750 0.500
Zr 0.500 0.500 0.000
Tl 0.137 0.625 0.012
Tl 0.375 0.387 0.512
Tl 0.613 0.125 0.988
Tl 0.875 0.863 0.488

**SG**: I-42d (122)
**Calculated volume**: 219.3 Å³ per cell
**Calculated formation energy**: 86 meV per atom
**Calculated total energy**: -4.850 eV per atom

=====

# YZrTl4

A relaxed YZrTl4 crystal (PBE-GGA, Alexandria).

Lattice parameters (Å, degrees): 6.089 6.089 6.089 60.00 60.00 60.00
Sites, in units of the cell vectors:
Y 0.000 0.000 0.000
Zr 0.750 0.750 0.750
Tl 0.375 0.375 0.375
Tl 0.375 0.375 0.874
Tl 0.375 0.874 0.375
Tl 0.874 0.375 0.375

**SG**: F-43m (216)
**Calculated volume**: 159.6 Å³ per cell
**Calculated formation energy**: 191 meV per atom
**Calculated total energy**: -3.888 eV per atom

=====

# YZr2Tl

A relaxed YZr2Tl crystal (PBE-GGA, Alexandria).

Lattice parameters (Å, degrees): 5.703 5.703 3.253 90.00 90.00 110.36
Sites, in units of the cell vectors:
Y 0.000 0.000 0.000
Zr 0.000 0.500 0.500
Zr 0.500 0.000 0.500
Tl 0.500 0.500 0.000

**SG**: Cmmm (65)
**Calculated volume**: 99.2 Å³ per cell
**Calculated formation energy**: 70 meV per atom
**Calculated total energy**: -6.412 eV per atom

=====

# YZr2Tl

A relaxed YZr2Tl crystal (PBE-GGA, Alexandria).

Lattice parameters (Å, degrees): 5.187 5.187 5.187 60.00 60.00 60.00
Sites, in units of the cell vectors:
Y 0.000 0.000 0.000
Zr 0.250 0.250 0.250
Zr 0.500 0.500 0.500
Tl 0.750 0.750 0.750

**SG**: F-43m (216)
**Calculated volume**: 98.7 Å³ per cell
**Calculated formation energy**: 72 meV per atom
**Calculated total energy**: -6.409 eV per atom

=====

# YZrTl2

A relaxed YZrTl2 crystal (PBE-GGA, Alexandria).

Lattice parameters (Å, degrees): 3.345 4.340 6.863 90.00 90.06 90.00
Sites, in units of the cell vectors:
Y 0.000 0.000 0.000
Zr 0.000 0.000 0.500
Tl 0.500 0.500 0.263
Tl 0.500 0.500 0.737

**SG**: P2/m (10)
**Calculated volume**: 99.6 Å³ per cell
**Calculated formation energy**: -181 meV per atom
**Calculated total energy**: -5.117 eV per atom

=====

# YZr2Tl

A relaxed YZr2Tl crystal (PBE-GGA, Alexandria).

Lattice parameters (Å, degrees): 5.810 5.810 5.810 134.58 134.58 66.18
Sites, in units of the cell vectors:
Y 0.000 0.000 0.000
Zr 0.250 0.750 0.500
Zr 0.750 0.250 0.500
Tl 0.500 0.500 0.000

**SG**: I4/mmm (139)
**Calculated volume**: 98.0 Å³ per cell
**Calculated formation energy**: -62 meV per atom
**Calculated total energy**: -6.543 eV per atom

=====

# YZrTl2

A relaxed YZrTl2 crystal (PBE-GGA, Alexandria).

Lattice parameters (Å, degrees): 10.317 10.317 10.317 19.33 19.33 19.33
Sites, in units of the cell vectors:
Y 0.000 0.000 0.000
Zr 0.500 0.500 0.500
Tl 0.248 0.248 0.248
Tl 0.752 0.752 0.752

**SG**: R-3m (166)
**Calculated volume**: 105.2 Å³ per cell
**Calculated formation energy**: -80 meV per atom
**Calculated total energy**: -5.017 eV per atom